1.
Density functional theory data (GGA-PBE) for a relaxed RbErPO crystal.

Cell: 4.724 7.999 6.642 Å, 90.00 90.00 90.00°
Fractional positions:
Rb: 0.000 0.214 0.000
Rb: 0.000 0.786 0.500
Er: 0.500 0.373 0.569
Er: 0.500 0.627 0.069
P: 0.000 0.209 0.492
P: 0.000 0.791 0.992
O: 0.500 0.422 0.878
O: 0.500 0.578 0.378

Results
The energy above the most stable polymorph in this dataset comes out at 64.0 meV/atom. The space group is Pmc2_1 (26). The magnetic moment is 2.00 Bohr magnetons per cell.

=====

2.
Density functional theory data (GGA-PBE) for a relaxed Rb3ErP2O8 crystal.

Cell: 5.654 5.654 7.989 Å, 90.00 90.00 120.00°
Fractional positions:
Rb: 0.000 0.000 0.000
Rb: 0.333 0.667 0.747
Rb: 0.667 0.333 0.253
Er: 0.000 0.000 0.500
P: 0.333 0.667 0.270
P: 0.667 0.333 0.730
O: 0.184 0.367 0.338
O: 0.184 0.816 0.338
O: 0.333 0.667 0.080
O: 0.367 0.184 0.662
O: 0.633 0.816 0.338
O: 0.667 0.333 0.920
O: 0.816 0.184 0.662
O: 0.816 0.633 0.662

Results
The space group is P-3m1 (164). The magnetic moment is 0.01 Bohr magnetons per cell. For the uncorrected energy, the calculation gives -93.87 eV/f.u.

=====

3.
Density functional theory data (GGA-PBE) for a relaxed RbErPO crystal.

Cell: 3.431 7.877 7.815 Å, 90.00 90.00 90.00°
Fractional positions:
Rb: 0.000 0.057 0.000
Rb: 0.000 0.943 0.500
Er: 0.500 0.377 0.367
Er: 0.500 0.623 0.867
P: 0.500 0.309 0.716
P: 0.500 0.691 0.216
O: 0.000 0.246 0.294
O: 0.000 0.754 0.794

Results
The energy above the most stable polymorph in this dataset comes out at 0.0 meV/atom. The space group is Pmc2_1 (26). The magnetic moment is 0.00 Bohr magnetons per cell.

=====

4.
Density functional theory data (GGA-PBE) for a relaxed RbErP2O7 crystal.

Cell: 7.604 10.796 8.573 Å, 90.00 105.28 90.00°
Fractional positions:
Rb: 0.190 0.185 0.057
Rb: 0.190 0.315 0.557
Rb: 0.810 0.685 0.443
Rb: 0.810 0.815 0.943
Er: 0.231 0.595 0.254
Er: 0.231 0.905 0.754
Er: 0.769 0.095 0.246
Er: 0.769 0.405 0.746
P: 0.134 0.598 0.816
P: 0.134 0.902 0.316
P: 0.446 0.642 0.689
P: 0.446 0.858 0.189
P: 0.554 0.142 0.811
P: 0.554 0.358 0.311
P: 0.866 0.098 0.684
P: 0.866 0.402 0.184
O: 0.020 0.003 0.212
O: 0.020 0.497 0.712
O: 0.076 0.727 0.746
O: 0.076 0.773 0.246
O: 0.135 0.590 0.992
O: 0.135 0.910 0.492
O: 0.338 0.608 0.519
O: 0.338 0.892 0.019
O: 0.344 0.574 0.811
O: 0.344 0.926 0.311
O: 0.361 0.089 0.764
O: 0.361 0.411 0.264
O: 0.454 0.719 0.226
O: 0.454 0.781 0.726
O: 0.546 0.219 0.274
O: 0.546 0.281 0.774
O: 0.639 0.589 0.736
O: 0.639 0.911 0.236
O: 0.656 0.074 0.689
O: 0.656 0.426 0.189
O: 0.662 0.108 0.981
O: 0.662 0.392 0.481
O: 0.865 0.090 0.508
O: 0.865 0.410 0.008
O: 0.924 0.227 0.754
O: 0.924 0.273 0.254
O: 0.980 0.503 0.288
O: 0.980 0.997 0.788

Results
The space group is P2_1/c (14). The magnetic moment is 0.00 Bohr magnetons per cell. For the uncorrected energy, the calculation gives -80.77 eV/f.u.

=====

5.
Density functional theory data (GGA-PBE) for a relaxed RbErPO crystal.

Cell: 5.731 5.731 5.156 Å, 90.00 90.00 90.00°
Fractional positions:
Rb: 0.250 0.250 0.006
Rb: 0.750 0.750 0.994
Er: 0.250 0.750 0.500
Er: 0.750 0.250 0.500
P: 0.250 0.250 0.506
P: 0.750 0.750 0.494
O: 0.250 0.750 0.000
O: 0.750 0.250 0.000

Results
The energy above the most stable polymorph in this dataset comes out at 593.5 meV/atom. The space group is P4/nmm (129). The magnetic moment is 0.01 Bohr magnetons per cell.

=====

6.
Density functional theory data (GGA-PBE) for a relaxed ErRePO crystal.

Cell: 4.351 4.419 6.134 Å, 90.00 90.00 90.00°
Fractional positions:
Er: 0.000 0.188 0.000
Er: 0.000 0.812 0.500
Re: 0.500 0.361 0.349
Re: 0.500 0.639 0.849
P: 0.500 0.145 0.702
P: 0.500 0.855 0.202
O: 0.000 0.350 0.345
O: 0.000 0.650 0.845

Results
The energy above the most stable polymorph in this dataset comes out at 465.9 meV/atom. The space group is Pmc2_1 (26). The magnetic moment is 0.01 Bohr magnetons per cell.